The following is a DFT calculation (PBE) of an optimized crystal structure of DyCd2Pd5.

Summary:
Energy = -4.549 eV/atom
Volume = 18.22 Å³/atom
Symmetry = No. 140

Unit cell a=7.5479 b=7.5479 c=7.5479 alpha=122.53 beta=122.53 gamma=85.67
Element x y z (fractional)
Dy: 0.2500 0.2500 0.0000
Dy: 0.7500 0.7500 0.0000
Cd: 0.1530 0.6530 0.8060
Cd: 0.3470 0.1530 0.5000
Cd: 0.6530 0.8470 0.5000
Cd: 0.8470 0.3470 0.1940
Pd: 0.0000 0.0000 0.0000
Pd: 0.0237 0.8094 0.5000
Pd: 0.1906 0.6906 0.2142
Pd: 0.3094 0.5237 0.5000
Pd: 0.4763 0.9763 0.7857
Pd: 0.5000 0.5000 0.0000
Pd: 0.5237 0.0237 0.2142
Pd: 0.6906 0.4763 0.5000
Pd: 0.8094 0.3094 0.7857
Pd: 0.9763 0.1906 0.5000